The following is a DFT calculation (GGA-PBE) of crystalline ZnTcB at its relaxed geometry.

It has space group F-43m (No. 216), with a = 5.5045 Å, b = 5.5045 Å, c = 5.5045 Å, α = 90.00°, β = 90.00° and γ = 90.00°. The asymmetric unit holds Zn at (0.0000, 0.0000, 0.0000), Tc at (0.2500, 0.2500, 0.2500) and B at (0.0000, 0.0000, 0.5000).

As for the final energy: -61.68 eV for the cell shown.


The following is a DFT calculation (GGA-PBE) of crystalline ZnTcB2 at its relaxed geometry.

It has space group F-43m (No. 216), with a = 5.5465 Å, b = 5.5465 Å, c = 5.5465 Å, α = 90.00°, β = 90.00° and γ = 90.00°. The asymmetric unit holds Zn at (0.0000, 0.0000, 0.0000), Tc at (0.2500, 0.2500, 0.7500), B at (0.0000, 0.0000, 0.5000) and B at (0.2500, 0.2500, 0.2500).

As for the final energy: -79.69 eV for the cell shown.